Arrangement one

Compound: Ni3AuO
Source: Alexandria via LeMat-Bulk
Functional: GGA+U
Structure: relaxed

Cell and atoms, written as POSCAR:
```
Ni3AuO
1.0
-2.352 -2.455 3.392
3.805 0.370 2.906
-1.747 4.111 1.764
Au O Ni
1 1 3
Direct
0.000 0.000 0.000
0.500 0.500 0.500
0.000 0.500 0.000
0.500 0.000 0.000
0.000 0.000 0.500
```

Calculated values
For the density of states at the Fermi level, the calculation gives 0.49 states/eV/atom.



Arrangement two

Compound: Ni3AuO
Source: Alexandria via LeMat-Bulk
Functional: GGA+U
Structure: relaxed

Cell and atoms, written as POSCAR:
```
Ni3AuO
1.0
3.965 0.000 0.000
0.000 3.965 0.000
0.000 0.000 3.965
Ni Au O
3 1 1
Direct
0.500 0.000 0.000
0.000 0.000 0.500
0.000 0.500 0.000
0.500 0.500 0.500
0.000 0.000 0.000
```

Calculated values
For the density of states at the Fermi level, the calculation gives 0.57 states/eV/atom.



arrangement two is favored, and the nearest alternative lies 1670 meV per atom above it.